DFT (PBE) results for crystalline Nb2AsIF at its relaxed geometry.

Properties
The calculation puts the volume at 139.36 Å³ per cell. For the total energy, the calculation gives -4.078 eV/atom. As for the magnetic moment: 0.00 μB per formula unit. The value obtained for the energy relative to the elements, uncorrected is 151 kJ per mole of atoms.

Cell: 5.0977 5.3629 5.0977 Å, 90.00 90.00 90.00°
Atoms (fractional coordinates):
1 As 0.0000 0.5000 0.0000
2 Nb 0.0000 0.0000 0.5000
3 F 0.5000 0.5000 0.5000
4 I 0.0000 0.0000 0.0000
5 Nb 0.5000 0.0000 0.0000